This record from Alexandria via LeMat-Bulk describes a relaxed Al4GaPt crystal. The functional is GGA-PBE.

Cell lengths 5.939, 6.068, 11.966 Å; angles 90.00, 90.00, 90.00 degrees
Space group Imma (No. 74)
Symmetry-distinct sites (fractional):
Al 0.239 0.000 0.000 x8
Al 0.250 0.013 0.250 x8
Ga 0.000 0.250 0.625 x4
Pt 0.000 0.250 0.125 x4

Properties
Energy relative to the elements   -2.9 eV per formula unit
Energy   -4.497 eV per atom
DOS at the Fermi energy   0.165 states/eV/atom

This record from Alexandria via LeMat-Bulk describes a relaxed Tb8HoGa6 crystal. The functional is GGA-PBE.

Cell lengths 8.6529, 8.6529, 18.5456 Å; angles 90.00, 90.00, 120.00 degrees
Space group R-3 (No. 148, hexagonal axes)
Symmetry-distinct sites (fractional):
Tb 0.0000 0.0000 0.1665 x6
Tb 0.9999 0.3328 0.3882 x18
Ho 0.0000 0.0000 0.5000 x3
Ga 0.9999 0.3320 0.5584 x18

Properties
Energy relative to the elements   -5.5 eV per formula unit
Energy   -4.351 eV per atom
DOS at the Fermi energy   1.297 states/eV/atom

This record from Alexandria via LeMat-Bulk describes a relaxed BeFeOs crystal. The functional is GGA-PBE.

Cell lengths 7.408, 4.381, 4.962 Å; angles 90.00, 124.04, 90.00 degrees
Space group Cc (No. 9)
Symmetry-distinct sites (fractional):
Be 0.000 0.094 0.000 x4
Fe 0.172 0.415 0.490 x4
Os 0.331 0.098 0.993 x4

Properties
Relative energy among the computed polymorphs   88 meV/atom
Energy relative to the elements   -0.1 eV per formula unit
Energy   -7.828 eV per atom
DOS at the Fermi energy   0.703 states/eV/atom

Repeat the second record exactly.
This record from Alexandria via LeMat-Bulk describes a relaxed Tb8HoGa6 crystal. The functional is GGA-PBE.

Cell lengths 8.6529, 8.6529, 18.5456 Å; angles 90.00, 90.00, 120.00 degrees
Space group R-3 (No. 148, hexagonal axes)
Symmetry-distinct sites (fractional):
Tb 0.0000 0.0000 0.1665 x6
Tb 0.9999 0.3328 0.3882 x18
Ho 0.0000 0.0000 0.5000 x3
Ga 0.9999 0.3320 0.5584 x18

Properties
Energy relative to the elements   -5.5 eV per formula unit
Energy   -4.351 eV per atom
DOS at the Fermi energy   1.297 states/eV/atom

Which of these has the highest energy relative to the elements? BeFeOs

What is the formula in the second record? Tb8HoGa6